Record 1
Here is MgReAs3 after structural relaxation from the Alexandria database. Energies are from PBEsol.

Its crystal system is cubic. The magnetic moment comes out at 0.001 μB/f.u. Its energy relative to the lowest polymorph listed for this composition is 0.0 meV/atom. For the theoretical density, the calculation gives 6.4 g/cm³.

The space group is Pm-3m (No. 221) and the conventional cell measures 4.825, 4.825 and 4.825 Å, with angles of 90.00, 90.00 and 90.00 degrees. The distinct sites, in fractional coordinates, are Mg at (0.000, 0.000, 0.000), Re at (0.500, 0.500, 0.500) and As at (0.000, 0.500, 0.500).

Record 2
Here is TcAgP after structural relaxation from the Alexandria database. Energies are from PBEsol.

Its crystal system is cubic. The magnetic moment comes out at 0.001 μB/f.u. Its energy relative to the lowest polymorph listed for this composition is 353.2 meV/atom. For the theoretical density, the calculation gives 8.0 g/cm³.

The space group is F-43m (No. 216) and the conventional cell measures 5.810, 5.810 and 5.810 Å, with angles of 90.00, 90.00 and 90.00 degrees. The distinct sites, in fractional coordinates, are Tc at (0.000, 0.000, 0.000), Ag at (0.250, 0.250, 0.250) and P at (0.250, 0.250, 0.750).

| no. | total DFT energy (no corrections) (eV per atom) | DFT formation energy (eV per atom) |
| --- | --- | --- |
| 1 | -5.568 | 0.51 |
| 2 | -6.380 | 0.41 |